# 1
8
Lattice="4.1144 0.0000 0.0000 0.0000 4.1144 0.0000 0.0000 0.0000 8.5196" Properties=species:S:1:pos:R:3 comment="CeBeGeIr | the Alexandria database | PBE-GGA | relaxed" delta_e_f_ev_per_fu=-2.27 crystal_system=tetragonal final_energy_ev_per_atom=-6.35 pbc="T T T"
Ce 0.0000 2.0572 6.4884
Ce 2.0572 0.0000 2.0313
Be 0.0000 2.0572 3.2088
Be 2.0572 0.0000 5.3108
Ge 2.0572 0.0000 7.6660
Ge 0.0000 2.0572 0.8536
Ir 0.0000 0.0000 4.2598
Ir 2.0572 2.0572 4.2598


# 2
5
Lattice="5.4520 0.0000 0.0000 0.0000 4.6874 0.0000 0.0000 0.0000 5.4520" Properties=species:S:1:pos:R:3 comment="La2IrPdRh | the Alexandria database | PBE-GGA | relaxed" delta_e_f_ev_per_fu=1.92 crystal_system=tetragonal final_energy_ev_per_atom=-5.87 pbc="T T T"
Ir 2.7260 2.3437 2.7260
Rh 0.0000 2.3437 0.0000
Pd 0.0000 0.0000 0.0000
La 0.0000 0.0000 2.7260
La 2.7260 0.0000 0.0000


# 3
4
Lattice="4.9473 0.0000 0.0000 2.4737 4.2845 0.0000 2.4737 1.4282 4.0395" Properties=species:S:1:pos:R:3 comment="ErHfInCu | the Alexandria database | PBE-GGA | relaxed" delta_e_f_ev_per_fu=-0.42 crystal_system=cubic final_energy_ev_per_atom=-5.44 pbc="T T T"
In 2.4737 1.4282 1.0099
Hf 4.9473 2.8563 2.0197
Cu 7.4210 4.2845 3.0296
Er 0.0000 0.0000 0.0000


# 4
8
Lattice="4.3921 0.0000 0.0000 0.0000 7.5241 0.1838 0.0000 -2.6017 7.0579" Properties=species:S:1:pos:R:3 comment="NaSr2CeSe4 | the Alexandria database | PBE-GGA | relaxed" e_form_raw_ev_per_atom=-1.8140 crystal_system=monoclinic final_energy_ev_per_atom=-4.88 pbc="T T T"
Na 0.0000 0.0000 0.0000
Sr 2.1960 -1.3008 3.5289
Sr 0.0000 2.4612 3.6209
Ce 2.1960 3.7621 0.0919
Se 2.1960 1.3121 1.7572
Se 2.1960 3.6103 5.4845
Se 0.0000 -0.0411 5.4307
Se 0.0000 4.9636 1.8111


# 5
4
Lattice="5.1795 0.0000 0.0000 2.5897 4.4855 0.0000 2.5897 1.4952 4.2290" Properties=species:S:1:pos:R:3 comment="PmNdMgCo | the Alexandria database | PBE-GGA | relaxed" delta_e_f_ev_per_fu=0.29 crystal_system=cubic final_energy_ev_per_atom=-4.48 pbc="T T T"
Co 5.1795 2.9904 2.1145
Mg 0.0000 0.0000 0.0000
Nd 7.7692 4.4855 3.1718
Pm 2.5897 1.4952 1.0573


# 6
12
Lattice="-0.7211 -3.3455 -1.9918 3.7489 -2.0848 2.1447 -4.9517 -2.5880 6.1397" Properties=species:S:1:pos:R:3 comment="TmZrNi10 | the Alexandria database | PBE-GGA | relaxed" delta_e_f_ev_per_fu=-3.76 crystal_system=orthorhombic final_energy_ev_per_atom=-6.22 pbc="T T T"
Tm 0.0000 0.0000 0.0000
Zr -0.6014 -2.3364 4.1422
Ni -1.6737 -0.8748 2.0753
Ni -2.2250 -3.1850 6.1553
Ni 1.0222 -1.4879 2.1291
Ni -3.2780 -1.7133 4.0644
Ni -2.8364 -2.9668 2.0740
Ni 1.5139 -2.7152 0.0765
Ni -0.6725 -2.8558 1.1041
Ni -1.2514 -5.1627 5.1885
Ni 1.1854 -3.8890 2.1670
Ni -3.1094 -4.1294 4.1256